KCr2GeO8 (GGA+U, relaxed); final energy = -6.431 eV/atom; total magnetic moment = 1.0 μB/f.u.
1.0
-0.2651 -4.8579 1.5650
3.3273 -1.2930 3.6573
-4.9810 1.5714 5.8748
K Cr Ge O
1 2 1 8
direct
0.0000 0.0000 0.5000 K
0.6273 0.6273 0.2004 Cr
0.3727 0.3727 0.7996 Cr
0.0000 0.0000 0.0000 Ge
0.7416 0.2223 0.8261 O
0.7808 0.7808 0.0489 O
0.6877 0.6877 0.3905 O
0.3123 0.3123 0.6095 O
0.2192 0.2192 0.9511 O
0.2223 0.7416 0.8261 O
0.7777 0.2584 0.1739 O
0.2584 0.7777 0.1739 O